Material: BaNaMo2Cl
Method: DFT, PBE
State: relaxed

Summary:
calculated density = 2.47 Mg/m³
raw total energy = -3.77 eV per atom
ΔE_f (raw) = 1.583 eV per atom

Cell: 6.691 5.819 6.691 Å, 90.00 90.00 90.00°
Site moments in Bohr magnetons follow the coordinates.
Sites, in units of the cell vectors:
Na1 0.500 0.500 0.500  -0.01
Mo1 0.000 0.000 0.500  3.79
Mo2 0.500 0.000 0.000  4.00
Ba1 0.000 0.000 0.000  0.08
Cl1 0.000 0.500 0.000  0.03